[1]
Below is an optimized crystal structure of SrTaAl2, with properties calculated at the PBE-GGA level.

Lattice parameters (Å, degrees): 5.6351 5.6351 5.6351 135.56 135.56 64.65
With the nearest neighbours (Å) after each atom.
Fractional positions:
Sr1 0.5000 0.5000 0.0000  8 Al 3.01-3.20, 4 Ta 3.20
Al1 0.0000 0.0000 0.0000  4 Sr 3.01, 4 Al 3.20, 4 Ta 3.20
Al2 0.2500 0.7500 0.5000  4 Ta 3.01, 4 Al 3.20, 4 Sr 3.20
Ta1 0.7500 0.2500 0.5000  8 Al 3.01-3.20, 4 Sr 3.20

Properties
**Uncorrected energy**: -18.99 eV for the cell shown
**Distance to the lowest polymorph of the same formula**: 510 meV per atom

[2]
Below is an optimized crystal structure of KTc3Ru, with properties calculated at the PBE-GGA level.

Lattice parameters (Å, degrees): 4.3909 4.3909 4.3909 90.00 90.00 90.00
With the nearest neighbours (Å) after each atom.
Fractional positions:
Ru1 0.5000 0.5000 0.5000  12 Tc 3.10
K1 0.0000 0.0000 0.0000  6 Tc 2.20
Tc1 0.0000 0.5000 0.0000  2 K 2.20
Tc2 0.0000 0.0000 0.5000  2 K 2.20
Tc3 0.5000 0.0000 0.0000  2 K 2.20

Properties
**Uncorrected energy**: -25.43 eV for the cell shown
**Distance to the lowest polymorph of the same formula**: 1503 meV per atom

[3]
Below is an optimized crystal structure of AcHoCu2, with properties calculated at the PBE-GGA level.

Lattice parameters (Å, degrees): 4.8223 4.8223 5.7486 65.20 65.20 60.00
With the nearest neighbours (Å) after each atom.
Fractional positions:
Ac1 0.0000 0.0000 0.0000  8 Cu 3.10-3.39
Ho1 0.5000 0.5000 0.5000  6 Cu 2.84
Cu1 0.7947 0.7947 0.6159  3 Ho 2.84, 3 Cu 3.02, 1 Ac 3.10
Cu2 0.2053 0.2053 0.3841  3 Ho 2.84, 3 Cu 3.02, 1 Ac 3.10

Properties
**Uncorrected energy**: -17.43 eV for the cell shown
**Distance to the lowest polymorph of the same formula**: 25 meV per atom

[4]
Below is an optimized crystal structure of Rb2CdF, with properties calculated at the PBE-GGA level.

Lattice parameters (Å, degrees): 8.3774 8.3774 7.7366 57.22 57.22 90.00
With the nearest neighbours (Å) after each atom.
Fractional positions:
F1 0.5000 0.5000 0.0000  4 Rb 2.67
F2 0.2500 0.7500 0.5000  4 Rb 2.67
Rb1 0.5057 0.1250 0.2500  2 F 2.67
Rb2 0.2443 0.6250 0.2500  2 F 2.67
Rb3 0.3750 0.4943 0.7500  2 F 2.67
Rb4 0.8750 0.7557 0.7500  2 F 2.67
Cd1 0.0000 0.0000 0.0000  4 Rb 3.94
Cd2 0.7500 0.2500 0.5000  4 Rb 3.94

Properties
**Uncorrected energy**: -19.14 eV for the cell shown
**Formation energy from raw total energies**: -1212 meV per atom
**Distance to the lowest polymorph of the same formula**: 28 meV per atom